# MnNb2Sn2Se6 | Alexandria | PBE | relaxed
# DOS at the Fermi energy ... 12.20 states/eV/cell
# E_tot ... -5.797 eV per atom
# Formation energy from raw total energies ... -0.504 eV per atom
# Crystal system ... monoclinic
# Total moment ... 4.0 μB per formula unit
# Volume ... 277.2 Å³/f.u.
data_MnNb2Sn2Se6
_cell_length_a 6.254
_cell_length_b 11.151
_cell_length_c 8.247
_cell_angle_alpha 90.00
_cell_angle_beta 105.48
_cell_angle_gamma 90.00
_space_group_name_H-M_alt 'C 1 2/m 1'
_space_group_IT_number 12
loop_
_space_group_symop_operation_xyz
'x,y,z'
'-x,-y,-z'
'-x,y,-z'
'x,-y,z'
'x+1/2,y+1/2,z'
'-x+1/2,-y+1/2,-z'
'-x+1/2,y+1/2,-z'
'x+1/2,-y+1/2,z'
loop_
_atom_site_label
_atom_site_type_symbol
_atom_site_fract_x
_atom_site_fract_y
_atom_site_fract_z
Mn1 Mn 0.000 0.000 0.000
Nb1 Nb 0.000 0.367 0.000
Sn1 Sn 0.000 0.286 0.500
Se1 Se 0.097 0.173 0.820
Se2 Se 0.104 0.500 0.777



# MnNb2Te4Se2 | Alexandria | PBE | relaxed
# DOS at the Fermi energy ... 7.67 states/eV/cell
# E_tot ... -5.819 eV per atom
# Formation energy from raw total energies ... -0.392 eV per atom
# Crystal system ... trigonal
# Total moment ... 3.7 μB per formula unit
# Volume ... 243.6 Å³/f.u.
data_MnNb2Te4Se2
_cell_length_a 3.6526
_cell_length_b 3.6526
_cell_length_c 21.0798
_cell_angle_alpha 90.00
_cell_angle_beta 90.00
_cell_angle_gamma 120.00
_space_group_name_H-M_alt 'P 3 m 1'
_space_group_IT_number 156
loop_
_space_group_symop_operation_xyz
'x,y,z'
'-y,x-y,z'
'-x+y,-x,z'
'-y,-x,z'
'-x+y,y,z'
'x,x-y,z'
loop_
_atom_site_label
_atom_site_type_symbol
_atom_site_fract_x
_atom_site_fract_y
_atom_site_fract_z
Mn1 Mn 0.0000 0.0000 0.0000
Nb1 Nb 0.0000 0.0000 0.6576
Nb2 Nb 0.6667 0.3333 0.3119
Te1 Te 0.0000 0.0000 0.2239
Te2 Te 0.0000 0.0000 0.4003
Te3 Te 0.6667 0.3333 0.5694
Te4 Te 0.6667 0.3333 0.7459
Se1 Se 0.6667 0.3333 0.0688
Se2 Se 0.6667 0.3333 0.9313



# MnNbTe2Se | Alexandria | PBE | relaxed
# DOS at the Fermi energy ... 5.45 states/eV/cell
# E_tot ... -5.138 eV per atom
# Formation energy from raw total energies ... 0.663 eV per atom
# Crystal system ... tetragonal
# Total moment ... 3.9 μB per formula unit
# Volume ... 145.5 Å³/f.u.
data_MnNbTe2Se
_cell_length_a 5.304
_cell_length_b 5.304
_cell_length_c 5.173
_cell_angle_alpha 90.00
_cell_angle_beta 90.00
_cell_angle_gamma 90.00
_space_group_name_H-M_alt 'P 4/m m m'
_space_group_IT_number 123
_space_group_name_Hall '-P 4 2'
loop_
_atom_site_label
_atom_site_type_symbol
_atom_site_fract_x
_atom_site_fract_y
_atom_site_fract_z
Mn1 Mn 0.000 0.000 0.000
Nb1 Nb 0.000 0.000 0.500
Te1 Te 0.000 0.500 0.500
Se1 Se 0.500 0.500 0.000



# Mn2NbTl2Se6 | Alexandria | PBE | relaxed
# DOS at the Fermi energy ... 9.28 states/eV/cell
# E_tot ... -5.413 eV per atom
# Formation energy from raw total energies ... -0.499 eV per atom
# Crystal system ... monoclinic
# Total moment ... 9.0 μB per formula unit
# Volume ... 287.0 Å³/f.u.
data_Mn2NbTl2Se6
_cell_length_a 6.581
_cell_length_b 11.286
_cell_length_c 8.019
_cell_angle_alpha 90.00
_cell_angle_beta 105.44
_cell_angle_gamma 90.00
_space_group_name_H-M_alt 'C 1 2/m 1'
_space_group_IT_number 12
loop_
_space_group_symop_operation_xyz
'x,y,z'
'-x,-y,-z'
'-x,y,-z'
'x,-y,z'
'x+1/2,y+1/2,z'
'-x+1/2,-y+1/2,-z'
'-x+1/2,y+1/2,-z'
'x+1/2,-y+1/2,z'
loop_
_atom_site_label
_atom_site_type_symbol
_atom_site_fract_x
_atom_site_fract_y
_atom_site_fract_z
Mn1 Mn 0.000 0.170 0.000
Nb1 Nb 0.000 0.500 0.000
Tl1 Tl 0.000 0.338 0.500
Se1 Se 0.220 0.000 0.185
Se2 Se 0.228 0.333 0.189



# Mn2NbTl2Se4 | Alexandria | PBE | relaxed
# DOS at the Fermi energy ... 7.75 states/eV/cell
# E_tot ... -5.693 eV per atom
# Formation energy from raw total energies ... -0.462 eV per atom
# Crystal system ... monoclinic
# Total moment ... 6.9 μB per formula unit
# Volume ... 210.9 Å³/f.u.
data_Mn2NbTl2Se4
_cell_length_a 14.331
_cell_length_b 3.765
_cell_length_c 8.126
_cell_angle_alpha 90.00
_cell_angle_beta 105.85
_cell_angle_gamma 90.00
_space_group_name_H-M_alt 'C 1 2/m 1'
_space_group_IT_number 12
loop_
_space_group_symop_operation_xyz
'x,y,z'
'-x,-y,-z'
'-x,y,-z'
'x,-y,z'
'x+1/2,y+1/2,z'
'-x+1/2,-y+1/2,-z'
'-x+1/2,y+1/2,-z'
'x+1/2,-y+1/2,z'
loop_
_atom_site_label
_atom_site_type_symbol
_atom_site_fract_x
_atom_site_fract_y
_atom_site_fract_z
Mn1 Mn 0.166 0.000 0.465
Nb1 Nb 0.000 0.500 0.500
Tl1 Tl 0.140 0.500 0.074
Se1 Se 0.007 0.000 0.264
Se2 Se 0.191 0.500 0.675



# MnNb2Tl2Se6 | Alexandria | PBE | relaxed
# DOS at the Fermi energy ... 8.31 states/eV/cell
# E_tot ... -5.579 eV per atom
# Formation energy from raw total energies ... -0.584 eV per atom
# Crystal system ... monoclinic
# Total moment ... 4.2 μB per formula unit
# Volume ... 288.4 Å³/f.u.
data_MnNb2Tl2Se6
_cell_length_a 6.470
_cell_length_b 11.141
_cell_length_c 8.191
_cell_angle_alpha 90.00
_cell_angle_beta 102.31
_cell_angle_gamma 90.00
_space_group_name_H-M_alt 'C 1 2/m 1'
_space_group_IT_number 12
loop_
_space_group_symop_operation_xyz
'x,y,z'
'-x,-y,-z'
'-x,y,-z'
'x,-y,z'
'x+1/2,y+1/2,z'
'-x+1/2,-y+1/2,-z'
'-x+1/2,y+1/2,-z'
'x+1/2,-y+1/2,z'
loop_
_atom_site_label
_atom_site_type_symbol
_atom_site_fract_x
_atom_site_fract_y
_atom_site_fract_z
Mn1 Mn 0.000 0.000 0.000
Nb1 Nb 0.000 0.362 0.000
Tl1 Tl 0.000 0.183 0.500
Se1 Se 0.214 0.172 0.178
Se2 Se 0.230 0.500 0.216